Below is a geometry-optimized Sc2TaTiCd structure, with properties calculated at the PBE level.

The structure in CIF format:
```
data_Sc2TaTiCd
_chemical_formula_sum 'Sc2 Ta1 Ti1 Cd1'
_cell_length_a 5.0130
_cell_length_b 5.0130
_cell_length_c 4.7561
_cell_angle_alpha 90.00
_cell_angle_beta 90.00
_cell_angle_gamma 90.00
_symmetry_space_group_name_H-M 'P 4/m m m'
_symmetry_Int_Tables_number 123
_symmetry_space_group_name_Hall '-P 4 2'
loop_
_atom_site_label
_atom_site_type_symbol
_atom_site_fract_x
_atom_site_fract_y
_atom_site_fract_z
Sc1 Sc 0.0000 0.5000 0.0000
Ta1 Ta 0.0000 0.0000 0.5000
Ti1 Ti 0.0000 0.0000 0.0000
Cd1 Cd 0.5000 0.5000 0.5000
```

Below is a geometry-optimized ZrSc2TaCd structure, with properties calculated at the PBE level.

The structure in CIF format:
```
data_ZrSc2TaCd
_chemical_formula_sum 'Zr1 Sc2 Ta1 Cd1'
_cell_length_a 5.1914
_cell_length_b 5.1914
_cell_length_c 4.9493
_cell_angle_alpha 90.00
_cell_angle_beta 90.00
_cell_angle_gamma 90.00
_symmetry_space_group_name_H-M 'P 4/m m m'
_symmetry_Int_Tables_number 123
_symmetry_space_group_name_Hall '-P 4 2'
loop_
_atom_site_label
_atom_site_type_symbol
_atom_site_fract_x
_atom_site_fract_y
_atom_site_fract_z
Zr1 Zr 0.0000 0.0000 0.0000
Sc1 Sc 0.0000 0.5000 0.0000
Ta1 Ta 0.0000 0.0000 0.5000
Cd1 Cd 0.5000 0.5000 0.5000
```

Below is a geometry-optimized ZrScTaCd2 structure, with properties calculated at the PBE level.

The structure in CIF format:
```
data_ZrScTaCd2
_chemical_formula_sum 'Zr1 Sc1 Ta1 Cd2'
_cell_length_a 5.1153
_cell_length_b 5.1153
_cell_length_c 4.7959
_cell_angle_alpha 90.00
_cell_angle_beta 90.00
_cell_angle_gamma 90.00
_symmetry_space_group_name_H-M 'P 4/m m m'
_symmetry_Int_Tables_number 123
_symmetry_space_group_name_Hall '-P 4 2'
loop_
_atom_site_label
_atom_site_type_symbol
_atom_site_fract_x
_atom_site_fract_y
_atom_site_fract_z
Zr1 Zr 0.0000 0.0000 0.0000
Sc1 Sc 0.5000 0.5000 0.5000
Ta1 Ta 0.5000 0.5000 0.0000
Cd1 Cd 0.0000 0.5000 0.5000
```

Below is a geometry-optimized Tb4ScCd2 structure, with properties calculated at the PBE level.

The structure in CIF format:
```
data_Tb4ScCd2
_chemical_formula_sum 'Tb12 Sc3 Cd6'
_cell_length_a 5.4251
_cell_length_b 5.4251
_cell_length_c 25.4668
_cell_angle_alpha 90.00
_cell_angle_beta 90.00
_cell_angle_gamma 120.00
_symmetry_space_group_name_H-M 'R -3 m'
_symmetry_Int_Tables_number 166
_symmetry_space_group_name_Hall '-R 3 2"'
loop_
_atom_site_label
_atom_site_type_symbol
_atom_site_fract_x
_atom_site_fract_y
_atom_site_fract_z
Tb1 Tb 0.0000 0.0000 0.1305
Tb2 Tb 0.0000 0.0000 0.2645
Sc1 Sc 0.0000 0.0000 0.5000
Cd1 Cd 0.0000 0.0000 0.3862
```

Below is a geometry-optimized TbScCd14 structure, with properties calculated at the PBE level.

The structure in CIF format:
```
data_TbScCd14
_chemical_formula_sum 'Tb1 Sc1 Cd14'
_cell_length_a 6.5376
_cell_length_b 6.5376
_cell_length_c 8.4706
_cell_angle_alpha 90.00
_cell_angle_beta 90.00
_cell_angle_gamma 90.00
_symmetry_space_group_name_H-M 'P 4/m m m'
_symmetry_Int_Tables_number 123
_symmetry_space_group_name_Hall '-P 4 2'
loop_
_atom_site_label
_atom_site_type_symbol
_atom_site_fract_x
_atom_site_fract_y
_atom_site_fract_z
Tb1 Tb 0.0000 0.0000 0.0000
Sc1 Sc 0.5000 0.5000 0.0000
Cd1 Cd 0.0000 0.0000 0.5000
Cd2 Cd 0.0000 0.5000 0.0000
Cd3 Cd 0.0000 0.5000 0.5000
Cd4 Cd 0.2546 0.2546 0.2538
Cd5 Cd 0.5000 0.5000 0.5000
```

Below is a geometry-optimized TbSc2Cd structure, with properties calculated at the PBE level.

The structure in CIF format:
```
data_TbSc2Cd
_chemical_formula_sum 'Tb1 Sc2 Cd1'
_cell_length_a 4.6259
_cell_length_b 4.6259
_cell_length_c 4.6632
_cell_angle_alpha 90.00
_cell_angle_beta 90.00
_cell_angle_gamma 90.00
_symmetry_space_group_name_H-M 'P 4/m m m'
_symmetry_Int_Tables_number 123
_symmetry_space_group_name_Hall '-P 4 2'
loop_
_atom_site_label
_atom_site_type_symbol
_atom_site_fract_x
_atom_site_fract_y
_atom_site_fract_z
Tb1 Tb 0.0000 0.0000 0.0000
Sc1 Sc 0.0000 0.5000 0.5000
Cd1 Cd 0.5000 0.5000 0.0000
```

Below is a geometry-optimized Tb2Sc2Cd structure, with properties calculated at the PBE level.

The structure in CIF format:
```
data_Tb2Sc2Cd
_chemical_formula_sum 'Tb8 Sc8 Cd4'
_cell_length_a 14.5462
_cell_length_b 5.8914
_cell_length_c 6.3853
_cell_angle_alpha 90.00
_cell_angle_beta 104.95
_cell_angle_gamma 90.00
_symmetry_space_group_name_H-M 'C 1 2/c 1'
_symmetry_Int_Tables_number 15
loop_
_symmetry_equiv_pos_as_xyz
'x,y,z'
'-x,-y,-z'
'-x,y,-z+1/2'
'x,-y,z+1/2'
'x+1/2,y+1/2,z'
'-x+1/2,-y+1/2,-z'
'-x+1/2,y+1/2,-z+1/2'
'x+1/2,-y+1/2,z+1/2'
loop_
_atom_site_label
_atom_site_type_symbol
_atom_site_fract_x
_atom_site_fract_y
_atom_site_fract_z
Tb1 Tb 0.1032 0.0934 0.4622
Sc1 Sc 0.1952 0.4135 0.1421
Cd1 Cd 0.0000 0.4183 0.7500
```

Below is a geometry-optimized Tb2ScCd structure, with properties calculated at the PBE level.

The structure in CIF format:
```
data_Tb2ScCd
_chemical_formula_sum 'Tb2 Sc1 Cd1'
_cell_length_a 5.3792
_cell_length_b 5.3792
_cell_length_c 3.7431
_cell_angle_alpha 90.00
_cell_angle_beta 90.00
_cell_angle_gamma 90.00
_symmetry_space_group_name_H-M 'P 4/m m m'
_symmetry_Int_Tables_number 123
_symmetry_space_group_name_Hall '-P 4 2'
loop_
_atom_site_label
_atom_site_type_symbol
_atom_site_fract_x
_atom_site_fract_y
_atom_site_fract_z
Tb1 Tb 0.0000 0.5000 0.0000
Sc1 Sc 0.0000 0.0000 0.5000
Cd1 Cd 0.5000 0.5000 0.5000
```

Below is a geometry-optimized TbSc6Cd structure, with properties calculated at the PBE level.

The structure in CIF format:
```
data_TbSc6Cd
_chemical_formula_sum 'Tb1 Sc6 Cd1'
_cell_length_a 4.5964
_cell_length_b 4.5964
_cell_length_c 9.3420
_cell_angle_alpha 90.00
_cell_angle_beta 90.00
_cell_angle_gamma 90.00
_symmetry_space_group_name_H-M 'P 4/m m m'
_symmetry_Int_Tables_number 123
_symmetry_space_group_name_Hall '-P 4 2'
loop_
_atom_site_label
_atom_site_type_symbol
_atom_site_fract_x
_atom_site_fract_y
_atom_site_fract_z
Tb1 Tb 0.0000 0.0000 0.0000
Sc1 Sc 0.0000 0.5000 0.2581
Sc2 Sc 0.5000 0.5000 0.0000
Sc3 Sc 0.5000 0.5000 0.5000
Cd1 Cd 0.0000 0.0000 0.5000
```

Below is a geometry-optimized Tb12Sc6Cd structure, with properties calculated at the PBE level.

The structure in CIF format:
```
data_Tb12Sc6Cd
_chemical_formula_sum 'Tb36 Sc18 Cd3'
_cell_length_a 11.4963
_cell_length_b 11.4963
_cell_length_c 14.7526
_cell_angle_alpha 90.00
_cell_angle_beta 90.00
_cell_angle_gamma 120.00
_symmetry_space_group_name_H-M 'R -3'
_symmetry_Int_Tables_number 148
_symmetry_space_group_name_Hall '-R 3'
loop_
_atom_site_label
_atom_site_type_symbol
_atom_site_fract_x
_atom_site_fract_y
_atom_site_fract_z
Tb1 Tb 0.0131 0.1849 0.3166
Tb2 Tb 0.0479 0.8457 0.9126
Sc1 Sc 0.0307 0.4369 0.1939
Cd1 Cd 0.0000 0.0000 0.5000
```

Below is a geometry-optimized Tb14ScCd structure, with properties calculated at the PBE level.

The structure in CIF format:
```
data_Tb14ScCd
_chemical_formula_sum 'Tb28 Sc2 Cd2'
_cell_length_a 9.9747
_cell_length_b 9.9164
_cell_length_c 9.9159
_cell_angle_alpha 90.00
_cell_angle_beta 90.00
_cell_angle_gamma 90.00
_symmetry_space_group_name_H-M 'A m m 2'
_symmetry_Int_Tables_number 38
loop_
_symmetry_equiv_pos_as_xyz
'x,y,z'
'-x,-y,z'
'-x,y,z'
'x,-y,z'
'x,y+1/2,z+1/2'
'-x,-y+1/2,z+1/2'
'-x,y+1/2,z+1/2'
'x,-y+1/2,z+1/2'
loop_
_atom_site_label
_atom_site_type_symbol
_atom_site_fract_x
_atom_site_fract_y
_atom_site_fract_z
Tb1 Tb 0.0000 0.0000 0.9995
Tb2 Tb 0.0000 0.0000 0.5000
Tb3 Tb 0.0000 0.2504 0.2498
Tb4 Tb 0.2543 0.0000 0.2484
Tb5 Tb 0.2551 0.2487 0.9999
Tb6 Tb 0.2559 0.0000 0.7511
Tb7 Tb 0.5000 0.2490 0.2504
Sc1 Sc 0.5000 0.0000 0.0001
Cd1 Cd 0.5000 0.0000 0.5000
```

Below is a geometry-optimized TbScCd6 structure, with properties calculated at the PBE level.

The structure in CIF format:
```
data_TbScCd6
_chemical_formula_sum 'Tb2 Sc2 Cd12'
_cell_length_a 4.8316
_cell_length_b 7.1105
_cell_length_c 10.6814
_cell_angle_alpha 90.00
_cell_angle_beta 90.00
_cell_angle_gamma 90.00
_symmetry_space_group_name_H-M 'A m m 2'
_symmetry_Int_Tables_number 38
loop_
_symmetry_equiv_pos_as_xyz
'x,y,z'
'-x,-y,z'
'-x,y,z'
'x,-y,z'
'x,y+1/2,z+1/2'
'-x,-y+1/2,z+1/2'
'-x,y+1/2,z+1/2'
'x,-y+1/2,z+1/2'
loop_
_atom_site_label
_atom_site_type_symbol
_atom_site_fract_x
_atom_site_fract_y
_atom_site_fract_z
Tb1 Tb 0.0000 0.0000 0.0000
Sc1 Sc 0.5000 0.0000 0.7350
Cd1 Cd 0.0000 0.0000 0.5484
Cd2 Cd 0.0000 0.2206 0.2708
Cd3 Cd 0.5000 0.0000 0.1938
Cd4 Cd 0.5000 0.2163 0.4621
```

Asked for Fermi-level density of states across the records above, the calculation gives 5.6 6.1 5.5 29.2 5.4 5.6 27.5 5.4 13.7 100.1 43.4 7.9 states/eV/cell in order.
Asked for volume across the records above, the calculation gives 23.90 26.68 25.10 30.91 22.63 24.95 26.43 27.08 24.67 29.62 30.65 22.93 Å³ per atom in order.
Asked for ΔE_f across the records above, the calculation gives 0.815 1.068 1.213 0.105 -0.120 -0.091 -0.053 -0.085 -0.010 0.105 -0.001 -0.243 eV/atom in order.